--- i ---
{"formula": "Ca2PW", "functional": "SCAN", "state": "PBEsol geometry", "volume_a3_per_atom": 18.57, "crystal_system": "tetragonal", "magmom_total_mub_per_fu": 0.0, "lattice_angstrom": [[-2.729, -2.184, 1.947], [2.918, -2.222, 1.596], [0.149, 5.115, 1.836]], "species": ["Ca", "Ca", "P", "W"], "fractional_positions": [[0.750, 0.750, 0.501], [0.250, 0.250, 0.499], [0.500, 0.000, 0.000], [0.000, 0.500, 0.000]]}

=====

--- ii ---
{"formula": "Ca2PW", "functional": "SCAN", "state": "PBEsol geometry", "volume_a3_per_atom": 19.51, "crystal_system": "tetragonal", "magmom_total_mub_per_fu": 0.0, "lattice_angstrom": [[-2.010, 2.795, -2.517], [-1.861, -3.219, -2.088], [-1.354, 0.327, 5.057]], "species": ["Ca", "Ca", "P", "W"], "fractional_positions": [[0.000, 0.000, 0.000], [0.750, 0.250, 0.500], [0.500, 0.500, 0.000], [0.250, 0.750, 0.500]]}

=====

Bottom line: i, by a margin of 4.6 kJ/mol of atoms.

=====

--- i ---
{"formula": "Ca3PW", "functional": "SCAN", "state": "PBEsol geometry", "volume_a3_per_atom": 29.16, "crystal_system": "cubic", "magmom_total_mub_per_fu": 0.0, "lattice_angstrom": [[-3.788, 3.081, -1.964], [-3.574, -3.712, 1.071], [-0.759, 2.105, 4.764]], "species": ["P", "Ca", "Ca", "Ca", "W"], "fractional_positions": [[0.500, 0.500, 0.500], [0.000, 0.500, 0.000], [0.000, 0.000, 0.500], [0.500, 0.000, 0.000], [0.000, 0.000, 0.000]]}

=====

--- ii ---
{"formula": "Ca3PW", "functional": "SCAN", "state": "PBEsol geometry", "volume_a3_per_atom": 30.94, "crystal_system": "cubic", "magmom_total_mub_per_fu": 5.6, "lattice_angstrom": [[-4.078, -1.941, 2.902], [-1.680, -2.821, -4.247], [3.060, -4.134, 1.536]], "species": ["P", "Ca", "Ca", "Ca", "W"], "fractional_positions": [[0.000, 0.000, 0.000], [0.000, 0.500, 0.000], [0.000, 0.000, 0.500], [0.500, 0.000, 0.000], [0.500, 0.500, 0.500]]}

=====

Bottom line: ii, by a margin of 62.8 kJ/mol of atoms.

=====

--- i ---
{"formula": "Ca2ZnP", "functional": "SCAN", "state": "PBEsol geometry", "volume_a3_per_atom": 21.89, "crystal_system": "orthorhombic", "magmom_total_mub_per_fu": 0.0, "lattice_angstrom": [[-0.677, 3.421, -0.412], [-3.469, -0.535, 1.257], [2.084, 1.166, 6.247]], "species": ["Ca", "Ca", "P", "Zn"], "fractional_positions": [[0.000, 0.000, 0.773], [0.000, 0.000, 0.227], [0.500, 0.500, 0.000], [0.500, 0.500, 0.500]]}

=====

--- ii ---
{"formula": "Ca2ZnP", "functional": "SCAN", "state": "PBEsol geometry", "volume_a3_per_atom": 21.76, "crystal_system": "cubic", "magmom_total_mub_per_fu": 0.0, "lattice_angstrom": [[-3.726, 2.178, -2.474], [-0.926, -1.266, -4.721], [-4.093, -2.595, -1.122]], "species": ["Ca", "Ca", "P", "Zn"], "fractional_positions": [[0.750, 0.750, 0.750], [0.250, 0.250, 0.250], [0.000, 0.000, 0.000], [0.500, 0.500, 0.500]]}

=====

Bottom line: i, by a margin of 7.6 kJ/mol of atoms.

=====

--- i ---
{"formula": "CaRe3Pb", "functional": "SCAN", "state": "PBEsol geometry", "volume_a3_per_atom": 20.38, "crystal_system": "cubic", "magmom_total_mub_per_fu": 3.4, "lattice_angstrom": [[-1.240, -4.388, 1.014], [1.638, 0.540, 4.341], [-4.195, 1.508, 1.396]], "species": ["Pb", "Re", "Re", "Re", "Ca"], "fractional_positions": [[0.500, 0.500, 0.500], [0.000, 0.500, 0.000], [0.000, 0.000, 0.500], [0.500, 0.000, 0.000], [0.000, 0.000, 0.000]]}

=====

--- ii ---
{"formula": "CaRe3Pb", "functional": "SCAN", "state": "PBEsol geometry", "volume_a3_per_atom": 24.52, "crystal_system": "cubic", "magmom_total_mub_per_fu": 3.2, "lattice_angstrom": [[4.968, 0.000, 0.000], [0.000, 4.968, 0.000], [0.000, 0.000, 4.968]], "species": ["Pb", "Re", "Re", "Re", "Ca"], "fractional_positions": [[0.000, 0.000, 0.000], [0.000, 0.500, 0.000], [0.000, 0.000, 0.500], [0.500, 0.000, 0.000], [0.500, 0.500, 0.500]]}

=====

Bottom line: ii, by a margin of 61.6 kJ/mol of atoms.